Record 1
An optimized crystal structure of SrAlAgGe2, computed with PBE.

```
data_SrAlAgGe2
_chemical_formula_sum 'Sr2 Al2 Ag2 Ge4'
_cell_length_a 4.392
_cell_length_b 4.392
_cell_length_c 11.352
_cell_angle_alpha 90.00
_cell_angle_beta 90.00
_cell_angle_gamma 90.00
_space_group_name_H-M_alt 'I -4 m 2'
_space_group_IT_number 119
_space_group_name_Hall 'I -4 -2'
loop_
_atom_site_label
_atom_site_type_symbol
_atom_site_fract_x
_atom_site_fract_y
_atom_site_fract_z
_atom_site_occupancy
Sr1 Sr 0.000 0.000 0.000 1
Al1 Al 0.000 0.500 0.250 1
Ag1 Ag 0.000 0.500 0.750 1
Ge1 Ge 0.000 0.000 0.385 1
```

Values from the calculation:
Its energy is -3.83 eV per atom. As for the density: 5.577 g/cm3. As for the formation energy: -332 meV/atom.

=====

Record 2
An optimized crystal structure of AlAg2GeTe4, computed with PBE.

```
data_AlAg2GeTe4
_chemical_formula_sum 'Al2 Ag4 Ge2 Te8'
_cell_length_a 9.076
_cell_length_b 7.786
_cell_length_c 7.341
_cell_angle_alpha 90.00
_cell_angle_beta 90.00
_cell_angle_gamma 90.00
_space_group_name_H-M_alt 'P m n 21'
_space_group_IT_number 31
loop_
_space_group_symop_operation_xyz
'x,y,z'
'-x+1/2,-y,z+1/2'
'-x,y,z'
'x+1/2,-y,z+1/2'
loop_
_atom_site_label
_atom_site_type_symbol
_atom_site_fract_x
_atom_site_fract_y
_atom_site_fract_z
_atom_site_occupancy
Al1 Al 0.000 0.159 0.000 1
Ag1 Ag 0.250 0.318 0.511 1
Ge1 Ge 0.000 0.831 0.492 1
Te1 Te 0.000 0.161 0.363 1
Te2 Te 0.000 0.844 0.870 1
Te3 Te 0.234 0.335 0.889 1
```

Values from the calculation:
Its energy is -3.50 eV per atom. As for the density: 5.286 g/cm3.

=====

Record 3
An optimized crystal structure of TiAlAg2Ge, computed with PBE.

```
data_TiAlAg2Ge
_chemical_formula_sum 'Ti1 Al1 Ag2 Ge1'
_cell_length_a 4.976
_cell_length_b 4.976
_cell_length_c 5.028
_cell_angle_alpha 90.00
_cell_angle_beta 90.00
_cell_angle_gamma 90.00
_space_group_name_H-M_alt 'P 4/m m m'
_space_group_IT_number 123
_space_group_name_Hall '-P 4 2'
loop_
_atom_site_label
_atom_site_type_symbol
_atom_site_fract_x
_atom_site_fract_y
_atom_site_fract_z
_atom_site_occupancy
Ti1 Ti 0.000 0.000 0.000 1
Al1 Al 0.000 0.000 0.500 1
Ag1 Ag 0.000 0.500 0.000 1
Ge1 Ge 0.500 0.500 0.500 1
```

Values from the calculation:
Its energy is -3.30 eV per atom. As for the density: 4.844 g/cm3. As for the formation energy: 1087 meV/atom.

=====

Record 4
An optimized crystal structure of TiAlAgGe2, computed with PBE.

```
data_TiAlAgGe2
_chemical_formula_sum 'Ti1 Al1 Ag1 Ge2'
_cell_length_a 4.759
_cell_length_b 4.759
_cell_length_c 4.820
_cell_angle_alpha 90.00
_cell_angle_beta 90.00
_cell_angle_gamma 90.00
_space_group_name_H-M_alt 'P 4/m m m'
_space_group_IT_number 123
_space_group_name_Hall '-P 4 2'
loop_
_atom_site_label
_atom_site_type_symbol
_atom_site_fract_x
_atom_site_fract_y
_atom_site_fract_z
_atom_site_occupancy
Ti1 Ti 0.000 0.000 0.000 1
Al1 Al 0.000 0.000 0.500 1
Ag1 Ag 0.500 0.500 0.000 1
Ge1 Ge 0.000 0.500 0.500 1
```

Values from the calculation:
Its energy is -4.01 eV per atom. As for the density: 4.988 g/cm3. As for the formation energy: 737 meV/atom.

=====

Record 5
An optimized crystal structure of Al2AgH6, computed with PBE.

```
data_Al2AgH6
_chemical_formula_sum 'Al8 Ag4 H24'
_cell_length_a 6.623
_cell_length_b 6.623
_cell_length_c 6.623
_cell_angle_alpha 90.00
_cell_angle_beta 90.00
_cell_angle_gamma 90.00
_space_group_name_H-M_alt 'F m -3 m'
_space_group_IT_number 225
_space_group_name_Hall '-F 4 2 3'
loop_
_atom_site_label
_atom_site_type_symbol
_atom_site_fract_x
_atom_site_fract_y
_atom_site_fract_z
_atom_site_occupancy
Al1 Al 0.250 0.250 0.250 1
Ag1 Ag 0.000 0.000 0.000 1
H1 H 0.000 0.000 0.294 1
```

Values from the calculation:
Its energy is -2.74 eV per atom. As for the density: 3.839 g/cm3.

=====

Record 6
An optimized crystal structure of AlAgH3, computed with PBE.

```
data_AlAgH3
_chemical_formula_sum 'Al1 Ag1 H3'
_cell_length_a 3.781
_cell_length_b 3.781
_cell_length_c 3.781
_cell_angle_alpha 90.00
_cell_angle_beta 90.00
_cell_angle_gamma 90.00
_space_group_name_H-M_alt 'P m -3 m'
_space_group_IT_number 221
_space_group_name_Hall '-P 4 2 3'
loop_
_atom_site_label
_atom_site_type_symbol
_atom_site_fract_x
_atom_site_fract_y
_atom_site_fract_z
_atom_site_occupancy
Al1 Al 0.000 0.000 0.000 1
Ag1 Ag 0.500 0.500 0.500 1
H1 H 0.000 0.500 0.500 1
```

Values from the calculation:
Its energy is -2.77 eV per atom. As for the density: 4.235 g/cm3. The calculation puts the excess energy over the best structure of this formula in the dataset at 156 meV per atom.